This record from Alexandria describes a relaxed structure of Ac8La6Mg. The functional is PBE.

## Properties
Density of states at the Fermi level, states/eV/f.u.: 21.7
Energy relative to the elements, eV/atom: 0.214
V, Å³ per atom: 42.98
Energy, eV per cell: -60.821

Lattice parameters (Å, degrees): 10.104 10.104 7.291 90.00 90.00 120.00
Positions (direct):
Ac  0.034  0.342  0.381
Ac  0.307  0.966  0.381
Ac  0.333  0.667  0.737
Ac  0.342  0.307  0.619
Ac  0.658  0.693  0.381
Ac  0.667  0.333  0.263
Ac  0.693  0.034  0.619
Ac  0.966  0.658  0.619
La  0.051  0.674  0.103
La  0.326  0.377  0.103
La  0.377  0.051  0.897
La  0.623  0.949  0.103
La  0.674  0.623  0.897
La  0.949  0.326  0.897
Mg  0.000  0.000  0.000